# Hg2TeAs, optimized geometry, DFT GGA-PBE
data_Hg2TeAs
_cell_length_a 4.380
_cell_length_b 4.380
_cell_length_c 7.570
_cell_angle_alpha 100.95
_cell_angle_beta 100.95
_cell_angle_gamma 51.01
_space_group_name_H-M_alt 'P 1'
_space_group_IT_number 1
loop_
_space_group_symop_operation_xyz
'x,y,z'
loop_
_atom_site_label
_atom_site_type_symbol
_atom_site_fract_x
_atom_site_fract_y
_atom_site_fract_z
Hg1 Hg 0.000 0.000 0.000
Hg2 Hg 0.227 0.227 0.752
Te1 Te 0.440 0.440 0.465
As1 As 0.778 0.778 0.230
# Formation energy from raw total energies, kJ per mole of atoms: 9
# Energy above the most stable polymorph in this dataset, meV/atom: 13
# VASP energy, eV per cell: -8.03
# SG: No. 8